The following is a DFT calculation (PBE-GGA) of a geometry-optimized InTe2O5 structure. Values from VASP.

Summary:
total energy	-0.193	hartree per atom

Quantum ESPRESSO input file:
```
&SYSTEM
  ibrav = 0, nat = 32, ntyp = 3
/
ATOMIC_SPECIES
In 114.82 In.upf
Te 127.60 Te.upf
O 16.00 O.upf
ATOMIC_POSITIONS angstrom
In 0.000 0.654 1.640
In 0.000 10.555 4.919
In 3.739 4.950 4.919
In 3.739 6.258 1.640
Te 0.916 3.841 0.131
Te 0.916 7.367 3.410
Te 2.823 1.763 3.410
Te 2.823 9.446 0.131
Te 4.655 1.763 6.428
Te 4.655 9.446 3.149
Te 6.562 3.841 3.149
Te 6.562 7.367 6.428
O 0.000 4.840 1.640
O 0.000 6.368 4.919
O 1.158 0.758 3.572
O 1.158 10.451 0.292
O 1.447 2.347 1.203
O 1.447 8.862 4.482
O 2.292 3.258 4.482
O 2.292 7.951 1.203
O 2.582 4.847 0.292
O 2.582 6.362 3.572
O 3.739 0.764 4.919
O 3.739 10.445 1.640
O 4.897 4.847 2.987
O 4.897 6.362 6.266
O 5.186 3.258 5.356
O 5.186 7.951 2.077
O 6.032 2.347 2.077
O 6.032 8.862 5.356
O 6.321 0.758 6.266
O 6.321 10.451 2.987
CELL_PARAMETERS angstrom
7.478 0.000 0.000
0.000 11.209 0.000
0.000 0.000 6.559
```